Entry 1:
The following is a GGA-PBE calculation of a geometry-optimized ScTcSnPd structure, from Alexandria via LeMat-Bulk.

abc: 4.6042 4.6042 4.6042
angles: 60.00 60.00 60.00
Fractional positions:
Sc  0.7500  0.7500  0.7500
Sn  0.2500  0.2500  0.2500
Pd  0.5000  0.5000  0.5000
Tc  0.0000  0.0000  0.0000

Its space-group type is No. 216. The calculation puts the density of states at the Fermi level at 1.0 states/eV per cell.

---

Entry 2:
The following is a GGA-PBE calculation of a geometry-optimized NdY8Ir6 structure, from Alexandria via LeMat-Bulk.

abc: 7.7025 7.7025 7.7025
angles: 65.65 65.65 65.65
Fractional positions:
Nd  0.0000  0.0000  0.0000
Y  0.2243  0.5482  0.8904
Y  0.1096  0.7757  0.4518
Y  0.4518  0.1096  0.7757
Y  0.6653  0.6653  0.6653
Y  0.3347  0.3347  0.3347
Y  0.5482  0.8904  0.2243
Y  0.8904  0.2243  0.5482
Y  0.7757  0.4518  0.1096
Ir  0.0576  0.3917  0.7219
Ir  0.2781  0.9424  0.6083
Ir  0.6083  0.2781  0.9424
Ir  0.3917  0.7219  0.0576
Ir  0.7219  0.0576  0.3917
Ir  0.9424  0.6083  0.2781

Its space-group type is No. 148. The calculation puts the density of states at the Fermi level at 10.1 states/eV per cell.

---

no.,energy relative to the elements (meV/atom)
1,-483
2,-729